Record 1
Material: Pm2In5Br12
Method: DFT, PBE
State: relaxed

As for the formation energy from raw total energies: -1.15 eV per atom. For the energy, the calculation gives -3.42 eV per atom. The total magnetic moment is 0.03 μB/atom.

a = 7.634 Å, b = 9.984 Å, c = 9.984 Å
α = 63.17°, β = 75.05°, γ = 75.05°
Sites, in units of the cell vectors:
1 Pm 0.000 0.749 0.251
2 Pm 0.000 0.251 0.749
3 In 0.003 0.251 0.251
4 In 0.517 0.349 0.349
5 In 0.500 0.000 0.000
6 In 0.483 0.651 0.651
7 In 0.997 0.749 0.749
8 Br 0.204 0.917 0.917
9 Br 0.229 0.140 0.522
10 Br 0.229 0.522 0.140
11 Br 0.745 0.092 0.710
12 Br 0.745 0.710 0.092
13 Br 0.793 0.479 0.479
14 Br 0.207 0.521 0.521
15 Br 0.255 0.908 0.290
16 Br 0.255 0.290 0.908
17 Br 0.771 0.860 0.478
18 Br 0.771 0.478 0.860
19 Br 0.796 0.083 0.083


Record 2
Material: Pm2InBr
Method: DFT, PBE
State: relaxed

As for the formation energy from raw total energies: -0.76 eV per atom. For the energy, the calculation gives -4.24 eV per atom. The total magnetic moment is 0.00 μB/atom.

a = 3.582 Å, b = 3.582 Å, c = 8.578 Å
α = 90.00°, β = 90.00°, γ = 90.00°
Sites, in units of the cell vectors:
1 In 0.500 0.500 0.000
2 Br 0.500 0.500 0.500
3 Pm 0.000 0.000 0.757
4 Pm 0.000 0.000 0.243


Record 3
Material: PmIn3Br6
Method: DFT, PBE
State: relaxed

As for the formation energy from raw total energies: -1.15 eV per atom. For the energy, the calculation gives -3.45 eV per atom. The total magnetic moment is 0.00 μB/atom.

a = 7.732 Å, b = 8.747 Å, c = 11.365 Å
α = 90.00°, β = 86.14°, γ = 90.00°
Sites, in units of the cell vectors:
1 Pm 0.500 0.500 0.500
2 Pm 0.000 0.000 0.000
3 In 0.525 0.920 0.779
4 In 0.500 0.500 0.000
5 In 0.475 0.080 0.221
6 In 0.025 0.580 0.279
7 In 0.000 0.000 0.500
8 In 0.975 0.420 0.721
9 Br 0.686 0.165 0.959
10 Br 0.662 0.228 0.587
11 Br 0.644 0.429 0.265
12 Br 0.356 0.571 0.735
13 Br 0.338 0.772 0.413
14 Br 0.314 0.835 0.041
15 Br 0.186 0.335 0.459
16 Br 0.162 0.272 0.087
17 Br 0.144 0.071 0.765
18 Br 0.856 0.929 0.235
19 Br 0.838 0.728 0.913
20 Br 0.814 0.665 0.541


What did the second record say?
Material: Pm2InBr
Method: DFT, PBE
State: relaxed

As for the formation energy from raw total energies: -0.76 eV per atom. For the energy, the calculation gives -4.24 eV per atom. The total magnetic moment is 0.00 μB/atom.

a = 3.582 Å, b = 3.582 Å, c = 8.578 Å
α = 90.00°, β = 90.00°, γ = 90.00°
Sites, in units of the cell vectors:
1 In 0.500 0.500 0.000
2 Br 0.500 0.500 0.500
3 Pm 0.000 0.000 0.757
4 Pm 0.000 0.000 0.243


What is the formation energy from raw total energies in the first record?
-1.15 eV per atom


Which value of energy does entry 1 give?
-3.42 eV per atom


Number 3 is which compound?
PmIn3Br6